# 1
# PBE NiIr4Pb, optimized geometry
data_NiIr4Pb
_chemical_formula_sum 'Ni4 Ir16 Pb4'
_cell_length_a 7.457
_cell_length_b 7.457
_cell_length_c 7.457
_cell_angle_alpha 90.00
_cell_angle_beta 90.00
_cell_angle_gamma 90.00
_space_group_name_H-M_alt 'F -4 3 m'
_space_group_IT_number 216
_space_group_name_Hall 'F -4 2 3'
loop_
_atom_site_label
_atom_site_type_symbol
_atom_site_fract_x
_atom_site_fract_y
_atom_site_fract_z
Ni1 Ni 0.000 0.000 0.000
Ir1 Ir 0.126 0.126 0.626
Pb1 Pb 0.250 0.250 0.250
# Fermi-level density of states	48.22	states/eV per cell
# DFT formation energy	0.635	eV/atom



# 2
# PBE PmPr2TmSc, optimized geometry
data_PmPr2TmSc
_chemical_formula_sum 'Pm4 Pr8 Tm4 Sc4'
_cell_length_a 8.278
_cell_length_b 11.431
_cell_length_c 7.253
_cell_angle_alpha 90.00
_cell_angle_beta 90.00
_cell_angle_gamma 90.00
_space_group_name_H-M_alt 'C m c m'
_space_group_IT_number 63
_space_group_name_Hall '-C 2c 2'
loop_
_atom_site_label
_atom_site_type_symbol
_atom_site_fract_x
_atom_site_fract_y
_atom_site_fract_z
Pm1 Pm 0.000 0.229 0.250
Pr1 Pr 0.200 0.000 0.000
Tm1 Tm 0.000 0.241 0.750
Sc1 Sc 0.000 0.490 0.250
# Fermi-level density of states	26.58	states/eV per cell
# DFT formation energy	0.361	eV/atom



# 3
# PBE AcPuAlGe, optimized geometry
data_AcPuAlGe
_chemical_formula_sum 'Ac4 Pu4 Al4 Ge4'
_cell_length_a 7.529
_cell_length_b 7.529
_cell_length_c 7.529
_cell_angle_alpha 90.00
_cell_angle_beta 90.00
_cell_angle_gamma 90.00
_space_group_name_H-M_alt 'F -4 3 m'
_space_group_IT_number 216
_space_group_name_Hall 'F -4 2 3'
loop_
_atom_site_label
_atom_site_type_symbol
_atom_site_fract_x
_atom_site_fract_y
_atom_site_fract_z
Ac1 Ac 0.000 0.000 0.000
Pu1 Pu 0.000 0.000 0.500
Al1 Al 0.250 0.250 0.750
Ge1 Ge 0.250 0.250 0.250
# Fermi-level density of states	38.15	states/eV per cell
# DFT formation energy	-0.211	eV/atom



# 4
# PBE RbCdSb2I, optimized geometry
data_RbCdSb2I
_chemical_formula_sum 'Rb1 Cd1 Sb2 I1'
_cell_length_a 7.862
_cell_length_b 7.862
_cell_length_c 6.739
_cell_angle_alpha 90.00
_cell_angle_beta 90.00
_cell_angle_gamma 90.00
_space_group_name_H-M_alt 'P 4/m m m'
_space_group_IT_number 123
_space_group_name_Hall '-P 4 2'
loop_
_atom_site_label
_atom_site_type_symbol
_atom_site_fract_x
_atom_site_fract_y
_atom_site_fract_z
Rb1 Rb 0.000 0.000 0.000
Cd1 Cd 0.500 0.500 0.500
Sb1 Sb 0.000 0.500 0.000
I1 I 0.000 0.000 0.500
# energy relative to the lowest polymorph listed for this composition	0.7591	eV/atom
# formation energy without anion corrections	0.753	eV/atom



no.,total magnetic moment (μB per atom)
1,0.55
2,0.00
3,1.41
4,1.18